Nb6VOs | PBE | optimized geometry

a = 7.3408 Å, b = 7.3408 Å, c = 8.9718 Å
α = 90.00°, β = 90.00°, γ = 120.00°
Space group R-3 (No. 148, hexagonal axes)
Asymmetric unit:
Nb1 0.0008 0.7504 0.2506
V1 0.0000 0.0000 0.0000
Os1 0.0000 0.0000 0.5000

Properties
ΔH_f (0 K) in meV per atom: -102
Offset from the most stable computed form in eV per formula unit: 0.178
Calculated volume in A^3/atom: 17.44

---

AlAsPb2C | PBE | optimized geometry

a = 5.758 Å, b = 5.758 Å, c = 3.627 Å
α = 90.00°, β = 90.00°, γ = 90.00°
Space group P4/mmm (No. 123)
Asymmetric unit:
Al1 0.000 0.000 0.000
As1 0.500 0.500 0.500
Pb1 0.000 0.500 0.000
C1 0.000 0.000 0.500

Properties
ΔH_f (0 K) in meV per atom: 846
Calculated volume in A^3/atom: 24.05

---

Question: Among the records above, which one has the highest ΔH_f (0 K)?
Answer: AlAsPb2C